Version a
Here is crystalline TbPr7Dy12 at its relaxed geometry from the Alexandria database. Energies are from GGA-PBE.

Properties
Total moment, μB/f.u.: 0.0

Cell: 12.0485 12.0485 16.3174 Å, 90.00 90.00 120.00°
Space group R-3 (No. 148, hexagonal axes)
Symmetry-distinct sites (fractional):
Tb 0.0000 0.0000 0.0000 [3 per cell]
Pr 0.0000 0.0000 0.5000 [3 per cell]
Pr 0.0561 0.8694 0.7880 [18 per cell]
Dy 0.0265 0.5776 0.7224 [18 per cell]
Dy 0.0526 0.4665 0.0826 [18 per cell]


Version b
Here is crystalline TbPr7Dy12 at its relaxed geometry from the Alexandria database. Energies are from GGA-PBE.

Properties
Total moment, μB/f.u.: 0.0

Cell: 11.3642 11.3642 11.3642 Å, 90.00 90.00 90.00°
Space group Im-3m (No. 229)
Symmetry-distinct sites (fractional):
Tb 0.0000 0.0000 0.0000 [2 per cell]
Pr 0.0000 0.0000 0.5000 [6 per cell]
Pr 0.2500 0.2500 0.2500 [8 per cell]
Dy 0.0000 0.2465 0.2465 [24 per cell]


Winner for stability: version a


Version a
Here is crystalline Tb3Pr5Dy2 at its relaxed geometry from the Alexandria database. Energies are from GGA-PBE.

Properties
Total moment, μB/f.u.: 0.0

Cell: 10.8181 14.9231 10.1317 Å, 90.00 122.23 90.00°
Space group C2/c (No. 15)
Symmetry-distinct sites (fractional):
Tb 0.0000 0.2285 0.2500 [4 per cell]
Tb 0.1544 0.1251 0.0576 [8 per cell]
Pr 0.0000 0.0221 0.2500 [4 per cell]
Pr 0.0000 0.2717 0.7500 [4 per cell]
Pr 0.0000 0.4818 0.7500 [4 per cell]
Pr 0.2478 0.1292 0.7434 [8 per cell]
Dy 0.1537 0.3717 0.5588 [8 per cell]


Version b
Here is crystalline Tb3Pr5Dy2 at its relaxed geometry from the Alexandria database. Energies are from GGA-PBE.

Properties
Total moment, μB/f.u.: 0.0

Cell: 9.4955 13.7965 11.0636 Å, 90.00 90.00 90.00°
Space group Ibam (No. 72)
Symmetry-distinct sites (fractional):
Tb 0.0000 0.0000 0.2500 [4 per cell]
Tb 0.2482 0.3772 0.0000 [8 per cell]
Pr 0.0000 0.2463 0.2500 [8 per cell]
Pr 0.0000 0.5000 0.2500 [4 per cell]
Pr 0.1056 0.3696 0.5000 [8 per cell]
Dy 0.0856 0.1190 0.0000 [8 per cell]


Winner for stability: version a


Version a
Here is crystalline Tb8Pr2Dy at its relaxed geometry from the Alexandria database. Energies are from GGA-PBE.

Properties
Total moment, μB/f.u.: 0.0

Cell: 18.2832 5.0720 8.0257 Å, 90.00 105.29 90.00°
Space group C2/m (No. 12)
Symmetry-distinct sites (fractional):
Tb 0.0444 0.0000 0.2278 [4 per cell]
Tb 0.0895 0.5000 0.9528 [4 per cell]
Tb 0.1348 0.0000 0.6774 [4 per cell]
Tb 0.1809 0.5000 0.4082 [4 per cell]
Pr 0.2269 0.0000 0.1376 [4 per cell]
Dy 0.0000 0.5000 0.5000 [2 per cell]


Version b
Here is crystalline Tb8Pr2Dy at its relaxed geometry from the Alexandria database. Energies are from GGA-PBE.

Properties
Total moment, μB/f.u.: 0.0

Cell: 9.0718 16.1814 5.9394 Å, 90.00 122.94 90.00°
Space group C2/m (No. 12)
Symmetry-distinct sites (fractional):
Tb 0.0000 0.2069 0.0000 [4 per cell]
Tb 0.0748 0.5000 0.7965 [4 per cell]
Tb 0.2138 0.1150 0.6735 [8 per cell]
Pr 0.0000 0.3067 0.5000 [4 per cell]
Dy 0.0000 0.0000 0.0000 [2 per cell]


Winner for stability: version a


Version a
Here is crystalline Tb2PrDy at its relaxed geometry from the Alexandria database. Energies are from GGA-PBE.

Properties
Total moment, μB/f.u.: 0.0

Cell: 8.0964 8.0964 8.0964 Å, 90.00 90.00 90.00°
Space group Fm-3m (No. 225)
Symmetry-distinct sites (fractional):
Tb 0.2500 0.2500 0.2500 [8 per cell]
Pr 0.0000 0.0000 0.0000 [4 per cell]
Dy 0.0000 0.0000 0.5000 [4 per cell]


Version b
Here is crystalline Tb2PrDy at its relaxed geometry from the Alexandria database. Energies are from GGA-PBE.

Properties
Total moment, μB/f.u.: 0.0

Cell: 5.0796 5.0796 5.0860 Å, 90.00 90.00 90.00°
Space group P4/mmm (No. 123)
Symmetry-distinct sites (fractional):
Tb 0.0000 0.5000 0.0000 [2 per cell]
Pr 0.0000 0.0000 0.5000 [1 per cell]
Dy 0.5000 0.5000 0.5000 [1 per cell]


Winner for stability: version b


Version a
Here is crystalline Tb4PrDy2 at its relaxed geometry from the Alexandria database. Energies are from GGA-PBE.

Properties
Total moment, μB/f.u.: 0.0

Cell: 16.7584 3.5469 8.7841 Å, 90.00 119.29 90.00°
Space group C2/m (No. 12)
Symmetry-distinct sites (fractional):
Tb 0.1414 0.0000 0.3342 [4 per cell]
Tb 0.2057 0.0000 0.7945 [4 per cell]
Pr 0.0000 0.5000 0.5000 [2 per cell]
Dy 0.0704 0.5000 0.9302 [4 per cell]


Version b
Here is crystalline Tb4PrDy2 at its relaxed geometry from the Alexandria database. Energies are from GGA-PBE.

Properties
Total moment, μB/f.u.: 0.0

Cell: 6.1336 6.5911 11.5748 Å, 90.00 104.03 90.00°
Space group P2_1/m (No. 11)
Symmetry-distinct sites (fractional):
Tb 0.1488 0.0084 0.2887 [4 per cell]
Tb 0.2130 0.2500 0.5735 [2 per cell]
Tb 0.3511 0.7500 0.8375 [2 per cell]
Pr 0.4626 0.7500 0.1398 [2 per cell]
Dy 0.1031 0.2500 0.9943 [2 per cell]
Dy 0.3482 0.7500 0.5512 [2 per cell]


Winner for stability: version a


Version a
Here is crystalline TbPr4Dy6 at its relaxed geometry from the Alexandria database. Energies are from GGA-PBE.

Properties
Total moment, μB/f.u.: 0.0

Cell: 7.7182 7.7182 13.2198 Å, 90.00 90.00 90.00°
Space group I-42m (No. 121)
Symmetry-distinct sites (fractional):
Tb 0.0000 0.0000 0.0000 [2 per cell]
Pr 0.1765 0.1765 0.4227 [8 per cell]
Dy 0.0000 0.5000 0.0000 [4 per cell]
Dy 0.2397 0.2397 0.1835 [8 per cell]


Version b
Here is crystalline TbPr4Dy6 at its relaxed geometry from the Alexandria database. Energies are from GGA-PBE.

Properties
Total moment, μB/f.u.: 0.0

Cell: 6.7163 6.7163 16.9882 Å, 90.00 90.00 90.00°
Space group I-42m (No. 121)
Symmetry-distinct sites (fractional):
Tb 0.0000 0.0000 0.0000 [2 per cell]
Pr 0.1906 0.1906 0.8239 [8 per cell]
Dy 0.0000 0.5000 0.0000 [4 per cell]
Dy 0.1770 0.1770 0.6224 [8 per cell]


Winner for stability: version b


Version a
Here is crystalline Tb2PrDy4 at its relaxed geometry from the Alexandria database. Energies are from GGA-PBE.

Properties
Total moment, μB/f.u.: 0.0

Cell: 6.0957 6.5991 11.5829 Å, 90.00 103.98 90.00°
Space group P2_1/m (No. 11)
Symmetry-distinct sites (fractional):
Tb 0.1020 0.2500 0.4918 [2 per cell]
Tb 0.3437 0.7500 0.0502 [2 per cell]
Pr 0.4606 0.7500 0.6377 [2 per cell]
Dy 0.1521 0.0087 0.7895 [4 per cell]
Dy 0.2175 0.2500 0.0762 [2 per cell]
Dy 0.3536 0.7500 0.3357 [2 per cell]


Version b
Here is crystalline Tb2PrDy4 at its relaxed geometry from the Alexandria database. Energies are from GGA-PBE.

Properties
Total moment, μB/f.u.: 0.0

Cell: 16.7217 3.5405 8.7831 Å, 90.00 119.39 90.00°
Space group C2/m (No. 12)
Symmetry-distinct sites (fractional):
Tb 0.0701 0.0000 0.4299 [4 per cell]
Pr 0.0000 0.0000 0.0000 [2 per cell]
Dy 0.1428 0.5000 0.8357 [4 per cell]
Dy 0.2059 0.5000 0.2945 [4 per cell]


Winner for stability: version b


Version a
Here is crystalline Tb3Pr2Dy6 at its relaxed geometry from the Alexandria database. Energies are from GGA-PBE.

Properties
Total moment, μB/f.u.: 0.0

Cell: 4.7485 4.7485 33.4306 Å, 90.00 90.00 90.00°
Space group I4/mmm (No. 139)
Symmetry-distinct sites (fractional):
Tb 0.0000 0.0000 0.0000 [2 per cell]
Tb 0.0000 0.0000 0.2015 [4 per cell]
Pr 0.0000 0.0000 0.4536 [4 per cell]
Dy 0.0000 0.0000 0.3039 [4 per cell]
Dy 0.0000 0.5000 0.1225 [8 per cell]


Version b
Here is crystalline Tb3Pr2Dy6 at its relaxed geometry from the Alexandria database. Energies are from GGA-PBE.

Properties
Total moment, μB/f.u.: 0.0

Cell: 6.1309 10.6337 11.7531 Å, 90.00 100.14 90.00°
Space group C2/m (No. 12)
Symmetry-distinct sites (fractional):
Tb 0.0000 0.0000 0.0000 [2 per cell]
Tb 0.0000 0.3352 0.0000 [4 per cell]
Pr 0.0000 0.1668 0.5000 [4 per cell]
Dy 0.2490 0.1666 0.2468 [8 per cell]
Dy 0.2491 0.5000 0.2467 [4 per cell]


Winner for stability: version b